31
Lattice="5.4088 3.1228 2.7570 -5.4088 3.1228 2.7570 0.0000 -6.2455 2.7570" Properties=species:S:1:pos:R:3 comment="CrH18O9F3 (PBE+U, optimized geometry)" sg=R3 volume_a3_per_atom=9.0 dos_at_fermi_per_ev_cell=0.00 e_tot_ev_per_atom=-5.10 pbc="T T T"
Cr 0.0000 0.0000 0.0000
H -1.8103 0.3662 2.0237
H -3.0150 -2.4168 4.5372
H -3.5908 1.4059 3.6823
H 0.5880 -1.7508 2.0237
H 0.5779 -3.8127 3.6823
H -1.9578 -0.5271 4.2616
H -0.9719 -1.7830 4.1729
H 1.2223 1.3846 2.0237
H -1.0582 1.7332 4.1729
H -1.1926 -1.3350 6.2171
H 1.4354 -1.4320 4.2616
H 0.5225 1.9591 4.2616
H 2.0300 0.0498 4.1729
H -0.5855 3.8195 4.5372
H -0.5599 1.7003 6.2171
H 3.6005 -1.4027 4.5372
H 3.0129 2.4068 3.6823
H 1.7525 -0.3653 6.2171
O -3.7552 -3.0923 4.3848
O -4.5347 1.7071 3.8753
O 0.7890 -4.7808 3.8753
O -1.7563 -1.4145 4.6875
O -0.3468 2.2283 4.6875
O -0.8005 4.7982 4.3848
O 2.1032 -0.8138 4.6875
O 4.5556 -1.7059 4.3848
O 3.7458 3.0737 3.8753
F -2.1582 0.8492 3.4729
F 0.3437 -2.2937 3.4729
F 1.8145 1.4444 3.4729